# 1
# ErBiAu

A relaxed ErBiAu crystal (PBE-GGA, the Alexandria database).

a b c (Å): 3.480 4.524 10.576
angles (deg): 89.29 80.55 89.66
Sites, in units of the cell vectors:
Er (0.089, 0.255, 0.321)
Er (0.911, 0.745, 0.679)
Bi (0.323, 0.240, 0.859)
Bi (0.677, 0.760, 0.141)
Au (0.463, 0.248, 0.576)
Au (0.537, 0.752, 0.424)

E_form ... -0.635 eV/atom

=====

# 2
# Pu2ScBi

A relaxed Pu2ScBi crystal (PBE-GGA, the Alexandria database).

a b c (Å): 4.469 4.469 5.151
angles (deg): 90.00 90.00 90.00
Sites, in units of the cell vectors:
Pu (0.000, 0.500, 0.000)
Pu (0.500, 0.000, 0.000)
Sc (0.000, 0.000, 0.500)
Bi (0.500, 0.500, 0.500)

E_form ... -0.245 eV/atom

=====

# 3
# Li3Tm2ScSe6

A relaxed Li3Tm2ScSe6 crystal (PBE-GGA, the Alexandria database).

a b c (Å): 6.878 6.878 6.853
angles (deg): 99.63 99.63 120.01
Sites, in units of the cell vectors:
Li (0.000, 0.000, 0.000)
Li (0.334, 0.666, 0.000)
Li (0.666, 0.334, 0.000)
Tm (0.167, 0.833, 0.500)
Tm (0.833, 0.167, 0.500)
Sc (0.500, 0.500, 0.500)
Se (0.093, 0.417, 0.252)
Se (0.258, 0.258, 0.747)
Se (0.417, 0.093, 0.252)
Se (0.583, 0.907, 0.748)
Se (0.742, 0.742, 0.253)
Se (0.907, 0.583, 0.748)

=====

# 4
# SrRe2Sb

A relaxed SrRe2Sb crystal (PBE-GGA, the Alexandria database).

a b c (Å): 3.299 5.428 10.325
angles (deg): 90.00 90.00 90.00
Sites, in units of the cell vectors:
Sr (0.000, 0.000, 0.000)
Sr (0.500, 0.500, 0.500)
Re (0.000, 0.000, 0.480)
Re (0.000, 0.500, 0.810)
Re (0.500, 0.000, 0.310)
Re (0.500, 0.500, 0.980)
Sb (0.000, 0.500, 0.216)
Sb (0.500, 0.000, 0.716)

=====

# 5
# PaInCuCl6

A relaxed PaInCuCl6 crystal (PBE-GGA, the Alexandria database).

a b c (Å): 6.653 6.653 14.651
angles (deg): 90.00 90.00 120.00
Sites, in units of the cell vectors:
Pa (0.333, 0.667, 0.250)
Pa (0.667, 0.333, 0.750)
In (0.000, 0.000, 0.000)
In (0.000, 0.000, 0.500)
Cu (0.333, 0.667, 0.750)
Cu (0.667, 0.333, 0.250)
Cl (0.010, 0.364, 0.646)
Cl (0.010, 0.646, 0.854)
Cl (0.354, 0.364, 0.854)
Cl (0.354, 0.990, 0.646)
Cl (0.364, 0.010, 0.146)
Cl (0.364, 0.354, 0.354)
Cl (0.636, 0.646, 0.646)
Cl (0.636, 0.990, 0.854)
Cl (0.646, 0.010, 0.354)
Cl (0.646, 0.636, 0.146)
Cl (0.990, 0.354, 0.146)
Cl (0.990, 0.636, 0.354)

=====

# 6
# ZrMoP

A relaxed ZrMoP crystal (PBE-GGA, the Alexandria database).

a b c (Å): 6.963 6.963 3.456
angles (deg): 90.00 90.00 120.00
Sites, in units of the cell vectors:
Zr (0.000, 0.404, 0.000)
Zr (0.404, 0.000, 0.000)
Zr (0.596, 0.596, 0.000)
Mo (0.000, 0.749, 0.500)
Mo (0.251, 0.251, 0.500)
Mo (0.749, 0.000, 0.500)
P (0.000, 0.000, 0.000)
P (0.333, 0.667, 0.500)
P (0.667, 0.333, 0.500)

Energy above the lowest structure with this stoichiometry ... 0.000 eV per atom
E_form ... -0.989 eV/atom

=====

# 7
# U2Te2O

A relaxed U2Te2O crystal (PBE-GGA, the Alexandria database).

a b c (Å): 7.695 7.695 7.695
angles (deg): 130.15 70.63 133.39
Sites, in units of the cell vectors:
U (0.098, 0.189, 0.286)
U (0.402, 0.689, 0.091)
U (0.598, 0.311, 0.909)
U (0.902, 0.811, 0.714)
Te (0.150, 0.676, 0.825)
Te (0.350, 0.176, 0.526)
Te (0.650, 0.824, 0.474)
Te (0.850, 0.324, 0.175)
O (0.250, 0.250, 0.000)
O (0.750, 0.750, 0.000)

Energy above the lowest structure with this stoichiometry ... 0.000 eV per atom

=====

# 8
# ZrSc4Re

A relaxed ZrSc4Re crystal (PBE-GGA, the Alexandria database).

a b c (Å): 5.622 5.622 5.622
angles (deg): 60.00 60.00 60.00
Sites, in units of the cell vectors:
Zr (0.000, 0.000, 0.000)
Sc (0.376, 0.376, 0.376)
Sc (0.376, 0.376, 0.872)
Sc (0.376, 0.872, 0.376)
Sc (0.872, 0.376, 0.376)
Re (0.750, 0.750, 0.750)

E_form ... 0.543 eV/atom

=====

no.,calculated volume (Å³/atom),VASP energy (eV per atom)
1,27.373,-4.5424
2,25.713,-9.9641
3,22.045,-5.1527
4,23.110,-7.0043
5,31.201,-4.3507
6,16.122,-9.2520
7,24.801,-8.1406
8,20.937,-7.1772